Density functional theory data (GGA-PBE) for crystalline TbPaInSn at its relaxed geometry.

It has space group F-43m (No. 216), with a = 7.5469 Å, b = 7.5469 Å, c = 7.5469 Å, α = 90.00°, β = 90.00° and γ = 90.00°. The distinct sites, in fractional coordinates, are Tb at (0.0000, 0.0000, 0.0000), Pa at (0.0000, 0.0000, 0.5000), In at (0.2500, 0.2500, 0.7500) and Sn at (0.2500, 0.2500, 0.2500).

Its density of states at the Fermi level is 2.016 states/eV/atom. The value obtained for the energy of formation is -0.184 eV per atom.

***

Density functional theory data (GGA-PBE) for crystalline PaIn2SnTe4 at its relaxed geometry.

It has space group P2/m (No. 10), with a = 7.9029 Å, b = 4.4580 Å, c = 8.3416 Å, α = 90.00°, β = 107.33° and γ = 90.00°. The distinct sites, in fractional coordinates, are Pa at (0.0000, 0.0000, 0.0000), In at (0.0000, 0.5000, 0.5000), In at (0.5000, 0.0000, 0.5000), Sn at (0.5000, 0.5000, 0.0000), Te at (0.2308, 0.5000, 0.2211) and Te at (0.2448, 0.0000, 0.7765).

Its density of states at the Fermi level is 0.669 states/eV/atom. The calculation puts the raw formation energy at -0.443 eV per atom.

***

Density functional theory data (GGA-PBE) for crystalline YPaInSn at its relaxed geometry.

It has space group F-43m (No. 216), with a = 7.5411 Å, b = 7.5411 Å, c = 7.5411 Å, α = 90.00°, β = 90.00° and γ = 90.00°. The distinct sites, in fractional coordinates, are Y at (0.0000, 0.0000, 0.0000), Pa at (0.0000, 0.0000, 0.5000), In at (0.2500, 0.2500, 0.7500) and Sn at (0.2500, 0.2500, 0.2500).

Its density of states at the Fermi level is 2.020 states/eV/atom. The value obtained for the energy of formation is -0.194 eV per atom.

***

Density functional theory data (GGA-PBE) for crystalline PaZnInSn at its relaxed geometry.

It has space group Pmmm (No. 47), with a = 4.4307 Å, b = 4.5165 Å, c = 4.6605 Å, α = 90.00°, β = 90.00° and γ = 90.00°. The distinct sites, in fractional coordinates, are Pa at (0.0000, 0.0000, 0.0000), Zn at (0.5000, 0.0000, 0.5000), In at (0.0000, 0.5000, 0.5000) and Sn at (0.5000, 0.5000, 0.0000).

Its density of states at the Fermi level is 1.225 states/eV/atom. The value obtained for the energy of formation is -0.165 eV per atom.

***

Density functional theory data (GGA-PBE) for crystalline SrPa2In9 at its relaxed geometry.

It has space group P4/mmm (No. 123), with a = 4.6934 Å, b = 4.6934 Å, c = 14.1963 Å, α = 90.00°, β = 90.00° and γ = 90.00°. The distinct sites, in fractional coordinates, are Sr at (0.0000, 0.0000, 0.0000), Pa at (0.0000, 0.0000, 0.3387), In at (0.0000, 0.5000, 0.1742), In at (0.0000, 0.5000, 0.5000), In at (0.5000, 0.5000, 0.0000) and In at (0.5000, 0.5000, 0.3371).

Its density of states at the Fermi level is 1.061 states/eV/atom. The value obtained for the energy of formation is -0.177 eV per atom.

***

Density functional theory data (GGA-PBE) for crystalline SrPaIn4 at its relaxed geometry.

It has space group F-43m (No. 216), with a = 8.6654 Å, b = 8.6654 Å, c = 8.6654 Å, α = 90.00°, β = 90.00° and γ = 90.00°. The distinct sites, in fractional coordinates, are Sr at (0.0000, 0.0000, 0.0000), Pa at (0.2500, 0.2500, 0.2500) and In at (0.1244, 0.1244, 0.6244).

Its density of states at the Fermi level is 1.471 states/eV/atom. The value obtained for the energy of formation is -0.039 eV per atom.

***

Density functional theory data (GGA-PBE) for crystalline PaTa2In at its relaxed geometry.

It has space group P4/mmm (No. 123), with a = 4.6893 Å, b = 4.6893 Å, c = 3.7616 Å, α = 90.00°, β = 90.00° and γ = 90.00°. The distinct sites, in fractional coordinates, are Pa at (0.0000, 0.0000, 0.0000), Ta at (0.0000, 0.5000, 0.5000) and In at (0.5000, 0.5000, 0.0000).

Its density of states at the Fermi level is 1.107 states/eV/atom. The value obtained for the energy of formation is 0.179 eV per atom.

***

Density functional theory data (GGA-PBE) for crystalline PaTaIn2 at its relaxed geometry.

It has space group R-3m (No. 166, hexagonal axes), with a = 3.0780 Å, b = 3.0780 Å, c = 34.4577 Å, α = 90.00°, β = 90.00° and γ = 120.00°. The distinct sites, in fractional coordinates, are Pa at (0.0000, 0.0000, 0.0000), Ta at (0.0000, 0.0000, 0.5000) and In at (0.0000, 0.0000, 0.0943).

Its density of states at the Fermi level is 1.666 states/eV/atom. The value obtained for the energy of formation is 0.395 eV per atom.